# 1
Density functional theory data (GGA-PBE) for a relaxed structure of K2InPb2.

Output
- Relative energy among the computed polymorphs: 0 meV/atom
- Raw total energy: -52.5 eV for the cell shown
- Total moment: 0.000 μB per atom
- ΔE_f: -157 meV per atom

a = 12.8692 Å, b = 5.2552 Å, c = 12.8228 Å
α = 90.00°, β = 119.69°, γ = 90.00°
Last column: nearest neighbours and their distance in Å.
Space group C2/m (No. 12)
One atom of each set of equivalent atoms:
K  0.0061  0.0000  0.1796 [4 per cell]  7 Pb 3.67-4.09, 4 In 3.75-4.10
K  0.1949  0.0000  0.6141 [4 per cell]  6 Pb 3.68-3.80, 2 In 3.86
In  0.2117  0.5000  0.8427 [4 per cell]  4 Pb 3.04-3.13
Pb  0.0221  0.5000  0.3947 [4 per cell]  1 Pb 3.02, 1 In 3.04
Pb  0.1441  0.5000  0.0458 [4 per cell]  3 In 3.12-3.13, 1 Pb 3.29



# 2
Density functional theory data (GGA-PBE) for a relaxed structure of KTi2CuMo.

Output
- Raw total energy: -19.9 eV for the cell shown
- Total moment: 0.229 μB per atom
- ΔE_f: 2385 meV per atom

a = 4.4354 Å, b = 4.4354 Å, c = 4.5238 Å
α = 90.00°, β = 90.00°, γ = 90.00°
Last column: nearest neighbours and their distance in Å.
Space group P4/mmm (No. 123)
One atom of each set of equivalent atoms:
K  0.0000  0.0000  0.0000 [1 per cell]  4 Ti 2.22, 2 Mo 2.26
Ti  0.0000  0.5000  0.0000 [2 per cell]  2 K 2.22
Cu  0.5000  0.5000  0.5000 [1 per cell]  4 Mo 3.14, 8 Ti 3.17
Mo  0.0000  0.0000  0.5000 [1 per cell]  2 K 2.26



# 3
Density functional theory data (GGA-PBE) for a relaxed structure of Ca2SiF.

Output
- Relative energy among the computed polymorphs: 15 meV/atom
- Raw total energy: -50.8 eV for the cell shown
- Formation energy (no corrections): -1.410 eV/atom
- Total moment: 0.000 μB per atom

a = 3.8809 Å, b = 3.8809 Å, c = 20.2285 Å
α = 90.00°, β = 90.00°, γ = 120.00°
Last column: nearest neighbours and their distance in Å.
Space group R-3m (No. 166, hexagonal axes)
One atom of each set of equivalent atoms:
Ca  0.0000  0.0000  0.2431 [6 per cell]  3 F 2.72, 3 Si 2.89
Si  0.0000  0.0000  0.0000 [3 per cell]  6 Ca 2.89
F  0.0000  0.0000  0.5000 [3 per cell]  6 Ca 2.72



# 4
Density functional theory data (GGA-PBE) for a relaxed structure of CsRhSe4.

Output
- Raw total energy: -100.7 eV for the cell shown
- Formation energy (no corrections): -0.504 eV/atom
- Total moment: 0.000 μB per atom

a = 7.5693 Å, b = 13.8598 Å, c = 7.5529 Å
α = 90.00°, β = 98.34°, γ = 90.00°
Last column: nearest neighbours and their distance in Å.
Space group C2/c (No. 15)
One atom of each set of equivalent atoms:
Cs  0.0000  0.1622  0.2500 [4 per cell]  6 Se 3.71-4.05
Rh  0.0000  0.4908  0.2500 [4 per cell]  6 Se 2.45-2.55
Se  0.0345  0.3842  0.9822 [8 per cell]  1 Se 2.40, 2 Rh 2.45-2.55
Se  0.2050  0.0817  0.8067 [8 per cell]  1 Se 2.40, 1 Rh 2.54



# 5
Density functional theory data (GGA-PBE) for a relaxed structure of La2TaCo.

Output
- Relative energy among the computed polymorphs: 498 meV/atom
- Raw total energy: -26.4 eV for the cell shown
- Total moment: 0.105 μB per atom
- ΔE_f: 604 meV per atom

a = 3.4645 Å, b = 4.7301 Å, c = 5.3687 Å
α = 90.00°, β = 90.00°, γ = 90.00°
Last column: nearest neighbours and their distance in Å.
Space group Pmmm (No. 47)
One atom of each set of equivalent atoms:
La  0.0000  0.0000  0.0000 [1 per cell]  4 Co 2.93, 4 La 3.19
La  0.5000  0.0000  0.5000 [1 per cell]  4 Ta 2.93, 4 La 3.19
Ta  0.0000  0.5000  0.5000 [1 per cell]  4 La 2.93, 4 Co 3.19
Co  0.5000  0.5000  0.0000 [1 per cell]  4 La 2.93, 4 Ta 3.19



# 6
Density functional theory data (GGA-PBE) for a relaxed structure of HoSi4Pt2.

Output
- Raw total energy: -171.6 eV for the cell shown
- Formation energy (no corrections): -0.650 eV/atom
- Total moment: 0.000 μB per atom

a = 16.4797 Å, b = 4.2488 Å, c = 6.5756 Å
α = 90.00°, β = 90.00°, γ = 90.00°
Last column: nearest neighbours and their distance in Å.
Space group Pnma (No. 62)
One atom of each set of equivalent atoms:
Ho  0.1434  0.2500  0.0242 [4 per cell]  10 Si 2.93-3.19, 4 Pt 3.20
Si  0.0410  0.7500  0.8577 [4 per cell]  3 Pt 2.48-2.52, 2 Si 2.55-2.70
Si  0.0628  0.2500  0.4604 [4 per cell]  4 Pt 2.46-2.64, 1 Si 2.70
Si  0.1774  0.7500  0.3385 [4 per cell]  4 Pt 2.57-2.64, 1 Si 2.64
Si  0.1882  0.7500  0.7395 [4 per cell]  3 Pt 2.50-2.61, 2 Si 2.55-2.64
Pt  0.0264  0.7500  0.2392 [4 per cell]  7 Si 2.46-2.64
Pt  0.2118  0.2500  0.5481 [4 per cell]  7 Si 2.50-2.64



# 7
Density functional theory data (GGA-PBE) for a relaxed structure of LaGa2AgPd5.

Output
- Raw total energy: -44.4 eV for the cell shown
- Total moment: 0.000 μB per atom
- ΔE_f: -514 meV per atom

a = 4.1800 Å, b = 4.1800 Å, c = 9.4575 Å
α = 90.00°, β = 90.00°, γ = 90.00°
Last column: nearest neighbours and their distance in Å.
Space group P4/mmm (No. 123)
One atom of each set of equivalent atoms:
La  0.0000  0.0000  0.0000 [1 per cell]  12 Pd 2.96-3.02
Ga  0.5000  0.5000  0.3718 [2 per cell]  1 Ga 2.42, 4 Pd 2.48
Ag  0.0000  0.0000  0.5000 [1 per cell]  8 Ga 3.19, 8 Pd 3.30
Pd  0.0000  0.5000  0.2300 [4 per cell]  2 Ga 2.48
Pd  0.5000  0.5000  0.0000 [1 per cell]  4 La 2.96, 8 Pd 3.02



# 8
Density functional theory data (GGA-PBE) for a relaxed structure of Ho4SnGeTe2.

Output
- Raw total energy: -83.6 eV for the cell shown
- Formation energy (no corrections): -1.074 eV/atom
- Total moment: 0.000 μB per atom

a = 6.0876 Å, b = 6.0876 Å, c = 12.2555 Å
α = 90.00°, β = 90.00°, γ = 90.00°
Last column: nearest neighbours and their distance in Å.
Space group I-4m2 (No. 119)
One atom of each set of equivalent atoms:
Ho  0.0000  0.0000  0.2357 [4 per cell]  1 Ge 2.89, 2 Sn 3.05, 2 Te 3.05
Ho  0.0000  0.5000  0.0039 [4 per cell]  1 Sn 3.02, 2 Ge 3.04, 3 Te 3.04-3.11
Sn  0.0000  0.5000  0.2500 [2 per cell]  6 Ho 3.02-3.05
Ge  0.0000  0.0000  0.0000 [2 per cell]  6 Ho 2.89-3.04
Te  0.0000  0.0000  0.5000 [2 per cell]  6 Ho 3.04-3.24
Te  0.0000  0.5000  0.7500 [2 per cell]  6 Ho 3.05-3.11



# 9
Density functional theory data (GGA-PBE) for a relaxed structure of Sm2TmCu2.

Output
- Relative energy among the computed polymorphs: 0 meV/atom
- Raw total energy: -45.6 eV for the cell shown
- Total moment: 0.000 μB per atom
- ΔE_f: -141 meV per atom

a = 7.1462 Å, b = 7.1462 Å, c = 4.7198 Å
α = 90.00°, β = 90.00°, γ = 90.00°
Last column: nearest neighbours and their distance in Å.
Space group P4/mbm (No. 127)
One atom of each set of equivalent atoms:
Sm  0.1709  0.3291  0.0000 [4 per cell]  6 Cu 3.15-3.18, 1 Sm 3.46
Tm  0.0000  0.0000  0.5000 [2 per cell]  4 Cu 2.83
Cu  0.1233  0.6233  0.5000 [4 per cell]  1 Cu 2.49



# 10
Density functional theory data (GGA-PBE) for a relaxed structure of Mg3TcPt.

Output
- Relative energy among the computed polymorphs: 0 meV/atom
- Raw total energy: -18.8 eV for the cell shown
- Total moment: 0.620 μB per atom
- ΔE_f: 479 meV per atom

a = 4.8864 Å, b = 4.8864 Å, c = 4.8864 Å
α = 90.00°, β = 90.00°, γ = 90.00°
Last column: nearest neighbours and their distance in Å.
Space group Pm-3m (No. 221)
One atom of each set of equivalent atoms:
Mg  0.0000  0.0000  0.5000 [3 per cell]  2 Pt 2.44
Tc  0.5000  0.5000  0.5000 [1 per cell]  12 Mg 3.46
Pt  0.0000  0.0000  0.0000 [1 per cell]  6 Mg 2.44



# 11
Density functional theory data (GGA-PBE) for a relaxed structure of ZnNiHg2.

Output
- Raw total energy: -7.0 eV for the cell shown
- Total moment: 0.000 μB per atom
- ΔE_f: 158 meV per atom

a = 3.5943 Å, b = 4.0342 Å, c = 5.2946 Å
α = 90.00°, β = 108.20°, γ = 90.00°
Last column: nearest neighbours and their distance in Å.
Space group Pm (No. 6)
One atom of each set of equivalent atoms:
Zn  0.0000  0.0000  0.0000 [1 per cell]  2 Ni 2.47
Ni  0.8724  0.5000  0.7159 [1 per cell]  2 Zn 2.47, 1 Hg 2.73
Hg  0.2976  0.0000  0.5612 [1 per cell]  4 Ni 2.80-2.82, 3 Zn 2.83-2.85
Hg  0.5820  0.5000  0.1747 [1 per cell]  3 Ni 2.73-2.93, 4 Zn 2.84



# 12
Density functional theory data (GGA-PBE) for a relaxed structure of ErTmAl6.

Output
- Relative energy among the computed polymorphs: 307 meV/atom
- Raw total energy: -32.3 eV for the cell shown
- Total moment: 0.000 μB per atom
- ΔE_f: -96 meV per atom

a = 5.4692 Å, b = 5.4692 Å, c = 5.4692 Å
α = 90.00°, β = 90.00°, γ = 90.00°
Last column: nearest neighbours and their distance in Å.
Space group Pm-3 (No. 200)
One atom of each set of equivalent atoms:
Er  0.0000  0.0000  0.0000 [1 per cell]  12 Al 3.06
Tm  0.5000  0.5000  0.5000 [1 per cell]  12 Al 3.06
Al  0.0000  0.5000  0.2501 [6 per cell]  2 Al 2.73-2.74, 2 Tm 3.06, 2 Er 3.06



> Look up the raw total energy of the first one.

-52.5 eV for the cell shown